## w
The following is a DFT calculation (GGA-PBEsol) of crystalline SrY2Mo at its relaxed geometry.

Unit cell a=3.4064 b=5.1124 c=6.9040 alpha=90.00 beta=104.26 gamma=90.00
Atoms (fractional coordinates):
Y  0.5752  0.5000  0.2760
Mo  0.6562  0.0000  0.4364
Sr  0.2959  0.5000  0.7182
Y  0.9727  0.0000  0.0694

Calculated values
Density   5.15 g/cm³

---

## x
The following is a DFT calculation (GGA-PBEsol) of crystalline SrY2Mo at its relaxed geometry.

Unit cell a=4.7174 b=4.7174 c=5.7824 alpha=114.07 beta=114.07 gamma=90.00
Atoms (fractional coordinates):
Sr  0.2500  0.7500  0.5000
Y  0.0000  0.0000  0.0000
Mo  0.5000  0.5000  0.0000
Y  0.7500  0.2500  0.5000

Calculated values
Density   5.71 g/cm³

---

## y
The following is a DFT calculation (GGA-PBEsol) of crystalline SrY2Mo at its relaxed geometry.

Unit cell a=3.2952 b=5.2773 c=7.1211 alpha=93.75 beta=90.00 gamma=108.19
Atoms (fractional coordinates):
Y  0.7572  0.5144  0.2998
Y  0.0047  0.0094  0.0623
Sr  0.2415  0.4831  0.7245
Mo  0.4966  0.9931  0.4134

Calculated values
Density   5.11 g/cm³

---

The structure with the greatest stability is w.

---

## w
The following is a DFT calculation (GGA-PBEsol) of crystalline SrZrMo2 at its relaxed geometry.

Unit cell a=2.7919 b=5.7565 c=5.7565 alpha=117.90 beta=98.80 gamma=98.80
Atoms (fractional coordinates):
Mo  0.0000  0.5000  0.0000
Sr  0.5000  0.0000  0.0000
Zr  0.5000  0.5000  0.5000
Mo  0.0000  0.0000  0.5000

Calculated values
Density   7.88 g/cm³

---

## x
The following is a DFT calculation (GGA-PBEsol) of crystalline SrZrMo2 at its relaxed geometry.

Unit cell a=4.0289 b=4.0289 c=5.6458 alpha=110.90 beta=110.90 gamma=90.00
Atoms (fractional coordinates):
Mo  0.7500  0.2500  0.5000
Mo  0.2500  0.7500  0.5000
Zr  0.0000  0.0000  0.0000
Sr  0.5000  0.5000  0.0000

Calculated values
Density   7.78 g/cm³

---

## y
The following is a DFT calculation (GGA-PBEsol) of crystalline SrZrMo2 at its relaxed geometry.

Unit cell a=4.0119 b=4.0119 c=4.9257 alpha=90.00 beta=90.00 gamma=90.00
Atoms (fractional coordinates):
Sr  0.5000  0.5000  0.5000
Mo  0.0000  0.5000  0.0000
Mo  0.5000  0.0000  0.0000
Zr  0.0000  0.0000  0.5000

Calculated values
Density   7.76 g/cm³

---

The structure with the greatest stability is w.

---

## w
The following is a DFT calculation (GGA-PBEsol) of crystalline Ta2Mo at its relaxed geometry.

Unit cell a=3.2055 b=3.2055 c=9.7714 alpha=90.00 beta=90.00 gamma=90.00
Atoms (fractional coordinates):
Ta  0.5000  0.0000  0.5858
Mo  0.0000  0.5000  0.0778
Ta  0.0000  0.5000  0.4142
Ta  0.0000  0.5000  0.7584
Ta  0.5000  0.0000  0.2416
Mo  0.5000  0.0000  0.9222

Calculated values
Density   15.14 g/cm³

---

## x
The following is a DFT calculation (GGA-PBEsol) of crystalline Ta2Mo at its relaxed geometry.

Unit cell a=3.1333 b=4.3235 c=4.3235 alpha=90.00 beta=90.00 gamma=90.00
Atoms (fractional coordinates):
Ta  0.5000  0.0000  0.5000
Ta  0.5000  0.5000  0.0000
Mo  0.0000  0.0000  0.0000

Calculated values
Density   12.98 g/cm³

---

The structure with the greatest stability is w.

---

## w
The following is a DFT calculation (GGA-PBEsol) of crystalline Ta3Mo5 at its relaxed geometry.

Unit cell a=4.5150 b=5.2757 c=5.4737 alpha=100.20 beta=90.00 gamma=90.00
Atoms (fractional coordinates):
Mo  0.5000  0.7537  0.8752
Ta  0.0000  0.5000  0.5000
Ta  0.5000  0.7484  0.3703
Mo  0.0000  0.0000  0.7509
Mo  0.5000  0.2463  0.1248
Ta  0.5000  0.2516  0.6297
Mo  0.0000  0.0000  0.2491
Mo  0.0000  0.5000  0.0000

Calculated values
Density   13.23 g/cm³

---

## x
The following is a DFT calculation (GGA-PBEsol) of crystalline Ta3Mo5 at its relaxed geometry.

Unit cell a=4.4903 b=4.4903 c=7.1055 alpha=108.42 beta=108.42 gamma=90.00
Atoms (fractional coordinates):
Ta  0.0000  0.0000  0.0000
Ta  0.7506  0.7506  0.5012
Mo  0.5000  0.5000  0.0000
Mo  0.8764  0.3764  0.7528
Mo  0.1236  0.6236  0.2472
Mo  0.6236  0.1236  0.2472
Ta  0.2494  0.2494  0.4988
Mo  0.3764  0.8764  0.7528

Calculated values
Density   13.25 g/cm³

---

The structure with the greatest stability is x.